(1)
# Dy4In2Ag, relaxed, DFT PBE-GGA
data_Dy4In2Ag
_chemical_formula_sum 'Dy8 In4 Ag2'
_cell_length_a 7.0379
_cell_length_b 6.6422
_cell_length_c 9.0053
_cell_angle_alpha 90.00
_cell_angle_beta 109.21
_cell_angle_gamma 90.00
_symmetry_space_group_name_H-M 'P 1 21/m 1'
_symmetry_Int_Tables_number 11
_symmetry_space_group_name_Hall '-P 2yb'
loop_
_atom_site_label
_atom_site_type_symbol
_atom_site_fract_x
_atom_site_fract_y
_atom_site_fract_z
_atom_site_occupancy
Dy1 Dy 0.0856 0.2500 0.0476 1
Dy2 Dy 0.1723 0.0086 0.7218 1
Dy3 Dy 0.3218 0.7500 0.3506 1
In1 In 0.2154 0.2500 0.4326 1
In2 In 0.4340 0.7500 0.0322 1
Ag1 Ag 0.4920 0.2500 0.2765 1
# E above lowest polymorph: 0.42 eV/f.u.
# V: 397.5 Å³/cell
# Size of the total moment: 0.00 μB/cell
# Energy relative to the elements: -140 kJ/mol of formula units


(2)
# BeIr2Os, relaxed, DFT PBE-GGA
data_BeIr2Os
_chemical_formula_sum 'Be2 Ir4 Os2'
_cell_length_a 2.7772
_cell_length_b 4.3106
_cell_length_c 8.6450
_cell_angle_alpha 90.00
_cell_angle_beta 90.00
_cell_angle_gamma 90.00
_symmetry_space_group_name_H-M 'I m m 2'
_symmetry_Int_Tables_number 44
_symmetry_space_group_name_Hall 'I 2 -2'
loop_
_atom_site_label
_atom_site_type_symbol
_atom_site_fract_x
_atom_site_fract_y
_atom_site_fract_z
_atom_site_occupancy
Be1 Be 0.0000 0.0000 0.0000 1
Ir1 Ir 0.0000 0.0000 0.4976 1
Ir2 Ir 0.0000 0.5000 0.2874 1
Os1 Os 0.0000 0.5000 0.7199 1
# V: 103.5 Å³/cell
# Size of the total moment: 0.00 μB/cell
# Energy relative to the elements: -37 kJ/mol of formula units


(3)
# ZrCoTcMo, relaxed, DFT PBE-GGA
data_ZrCoTcMo
_chemical_formula_sum 'Zr4 Co4 Tc4 Mo4'
_cell_length_a 6.3169
_cell_length_b 6.3169
_cell_length_c 6.3169
_cell_angle_alpha 90.00
_cell_angle_beta 90.00
_cell_angle_gamma 90.00
_symmetry_space_group_name_H-M 'F -4 3 m'
_symmetry_Int_Tables_number 216
_symmetry_space_group_name_Hall 'F -4 2 3'
loop_
_atom_site_label
_atom_site_type_symbol
_atom_site_fract_x
_atom_site_fract_y
_atom_site_fract_z
_atom_site_occupancy
Zr1 Zr 0.0000 0.0000 0.0000 1
Co1 Co 0.2500 0.2500 0.7500 1
Tc1 Tc 0.2500 0.2500 0.2500 1
Mo1 Mo 0.0000 0.0000 0.5000 1
# V: 252.1 Å³/cell
# Size of the total moment: 7.33 μB/cell
# Energy relative to the elements: -27 kJ/mol of formula units


Copy entry 2 word for word.
# BeIr2Os, relaxed, DFT PBE-GGA
data_BeIr2Os
_chemical_formula_sum 'Be2 Ir4 Os2'
_cell_length_a 2.7772
_cell_length_b 4.3106
_cell_length_c 8.6450
_cell_angle_alpha 90.00
_cell_angle_beta 90.00
_cell_angle_gamma 90.00
_symmetry_space_group_name_H-M 'I m m 2'
_symmetry_Int_Tables_number 44
_symmetry_space_group_name_Hall 'I 2 -2'
loop_
_atom_site_label
_atom_site_type_symbol
_atom_site_fract_x
_atom_site_fract_y
_atom_site_fract_z
_atom_site_occupancy
Be1 Be 0.0000 0.0000 0.0000 1
Ir1 Ir 0.0000 0.0000 0.4976 1
Ir2 Ir 0.0000 0.5000 0.2874 1
Os1 Os 0.0000 0.5000 0.7199 1
# V: 103.5 Å³/cell
# Size of the total moment: 0.00 μB/cell
# Energy relative to the elements: -37 kJ/mol of formula units


Q: Among the records above, which one has the highest energy relative to the elements?
A: ZrCoTcMo


Q: Which value of size of the total moment does entry 1 give?
A: 0.00 μB/cell


Q: V of number 2 (BeIr2Os)?
A: 103.5 Å³/cell